(1)
VASP calculation (PBE) on a geometry-optimized ScP2S6 structure.

- DOS(E_F): 7.24 states/eV per cell
- Uncorrected energy: -5.238 eV/atom

abc: 6.180 6.180 7.977
angles: 67.21 67.21 60.00
Fractional coordinates of all 9 atoms:
S (0.075, 0.716, 0.765)
S (0.444, 0.075, 0.765)
S (0.716, 0.444, 0.765)
P (0.720, 0.720, 0.840)
S (0.918, 0.288, 0.236)
Sc (0.333, 0.333, 0.000)
S (0.558, 0.918, 0.236)
S (0.288, 0.558, 0.236)
P (0.613, 0.613, 0.160)

=====

(2)
VASP calculation (PBE) on a geometry-optimized PrGa6Pd12 structure.

- DOS(E_F): 6.67 states/eV per cell
- Uncorrected energy: -5.074 eV/atom

abc: 7.227 7.227 7.227
angles: 105.78 105.78 105.78
Fractional coordinates of all 19 atoms:
Pr (0.000, 0.000, 0.000)
Pd (0.121, 0.879, 0.500)
Pd (0.879, 0.121, 0.500)
Ga (0.296, 0.736, 0.736)
Ga (0.264, 0.264, 0.704)
Ga (0.736, 0.296, 0.736)
Ga (0.736, 0.736, 0.296)
Pd (0.411, 0.411, 0.162)
Pd (0.121, 0.500, 0.879)
Pd (0.411, 0.162, 0.411)
Pd (0.162, 0.411, 0.411)
Pd (0.500, 0.121, 0.879)
Ga (0.704, 0.264, 0.264)
Ga (0.264, 0.704, 0.264)
Pd (0.589, 0.589, 0.838)
Pd (0.838, 0.589, 0.589)
Pd (0.879, 0.500, 0.121)
Pd (0.500, 0.879, 0.121)
Pd (0.589, 0.838, 0.589)

=====

(3)
VASP calculation (PBE) on a geometry-optimized ThIr4Pd structure.

- DOS(E_F): 8.30 states/eV per cell
- Uncorrected energy: -8.375 eV/atom

abc: 5.328 5.328 5.328
angles: 60.00 60.00 60.00
Fractional coordinates of all 6 atoms:
Pd (0.000, 0.000, 0.000)
Ir (0.124, 0.625, 0.625)
Th (0.250, 0.250, 0.250)
Ir (0.625, 0.625, 0.625)
Ir (0.625, 0.124, 0.625)
Ir (0.625, 0.625, 0.124)

=====

(4)
VASP calculation (PBE) on a geometry-optimized YTaIr structure.

- Energy relative to the lowest polymorph listed for this composition: 162 meV per atom
- DOS(E_F): 18.70 states/eV per cell

abc: 9.761 8.792 5.709
angles: 90.00 90.00 90.00
Fractional coordinates of all 24 atoms:
Ir (0.250, 0.750, 0.250)
Y (0.000, 0.674, 0.500)
Ta (0.664, 0.500, 0.500)
Ta (0.836, 0.000, 0.500)
Ta (0.664, 0.000, 0.000)
Ir (0.750, 0.750, 0.250)
Y (0.500, 0.674, 0.000)
Ir (0.250, 0.250, 0.250)
Ir (0.250, 0.250, 0.750)
Ir (0.750, 0.750, 0.750)
Y (0.000, 0.326, 0.500)
Y (0.500, 0.326, 0.000)
Ta (0.336, 0.500, 0.500)
Ir (0.250, 0.750, 0.750)
Y (0.500, 0.174, 0.500)
Ta (0.336, 0.000, 0.000)
Ta (0.164, 0.000, 0.500)
Y (0.000, 0.826, 0.000)
Y (0.500, 0.826, 0.500)
Ir (0.750, 0.250, 0.750)
Ir (0.750, 0.250, 0.250)
Y (0.000, 0.174, 0.000)
Ta (0.164, 0.500, 0.000)
Ta (0.836, 0.500, 0.000)

=====

(5)
VASP calculation (PBE) on a geometry-optimized La2Nd4YSc structure.

- DOS(E_F): 14.24 states/eV per cell
- Uncorrected energy: -5.175 eV/atom

abc: 5.136 5.103 11.522
angles: 63.65 90.00 90.00
Fractional coordinates of all 8 atoms:
Nd (0.500, 0.745, 0.255)
Y (0.500, 0.500, 0.000)
Nd (0.000, 0.244, 0.255)
Nd (0.000, 0.756, 0.745)
Nd (0.500, 0.255, 0.745)
La (0.000, 0.000, 0.000)
Sc (0.000, 0.500, 0.500)
La (0.500, 0.000, 0.500)

=====

(6)
VASP calculation (PBE) on a geometry-optimized CaIn2Ru2 structure.

- Energy relative to the lowest polymorph listed for this composition: 147 meV per atom
- DOS(E_F): 3.81 states/eV per cell

abc: 4.105 4.105 7.028
angles: 73.02 73.02 90.00
Each line ends with the local moment (μB).
Fractional coordinates of all 5 atoms:
Ca (0.000, 0.000, 0.000)  -0.02
In (0.613, 0.613, 0.775)  -0.03
Ru (0.250, 0.750, 0.500)  1.13
In (0.387, 0.387, 0.225)  -0.03
Ru (0.750, 0.250, 0.500)  1.13

=====

(7)
VASP calculation (PBE) on a geometry-optimized ReSCl2O structure.

- Energy relative to the lowest polymorph listed for this composition: 1028 meV per atom
- DOS(E_F): 5.14 states/eV per cell

abc: 4.299 4.299 4.143
angles: 90.00 90.00 90.00
Fractional coordinates of all 5 atoms:
Cl (0.000, 0.500, 0.000)
Re (0.500, 0.500, 0.500)
O (0.000, 0.000, 0.000)
S (0.000, 0.000, 0.500)
Cl (0.500, 0.000, 0.000)

=====

(8)
VASP calculation (PBE) on a geometry-optimized Pr3CdO structure.

- DOS(E_F): 4.69 states/eV per cell
- Uncorrected energy: -5.303 eV/atom

abc: 5.038 5.038 5.038
angles: 90.00 90.00 90.00
Fractional coordinates of all 5 atoms:
O (0.000, 0.000, 0.000)
Pr (0.500, 0.000, 0.000)
Pr (0.000, 0.500, 0.000)
Cd (0.500, 0.500, 0.500)
Pr (0.000, 0.000, 0.500)

=====

(9)
VASP calculation (PBE) on a geometry-optimized Rb2CrMoPt structure.

- DOS(E_F): 3.85 states/eV per cell
- Uncorrected energy: -4.387 eV/atom

abc: 6.507 4.944 6.507
angles: 90.00 90.00 90.00
Each line ends with the local moment (μB).
Fractional coordinates of all 5 atoms:
Cr (0.500, 0.500, 0.500)  -4.38
Pt (0.000, 0.000, 0.000)  0.07
Rb (0.500, 0.000, 0.000)  0.00
Mo (0.000, 0.500, 0.000)  2.65
Rb (0.000, 0.000, 0.500)  0.00

=====

(10)
VASP calculation (PBE) on a geometry-optimized PrScH structure.

- Energy relative to the lowest polymorph listed for this composition: 0 meV per atom
- DOS(E_F): 2.90 states/eV per cell

abc: 4.815 4.815 6.034
angles: 66.55 66.55 90.07
Fractional coordinates of all 6 atoms:
Sc (0.308, 0.308, 0.302)
H (0.308, 0.808, 0.302)
Pr (0.058, 0.558, 0.802)
H (0.808, 0.308, 0.302)
Sc (0.808, 0.808, 0.302)
Pr (0.558, 0.058, 0.802)

=====

(11)
VASP calculation (PBE) on a geometry-optimized As2CBr structure.

- Energy relative to the lowest polymorph listed for this composition: 0 meV per atom
- DOS(E_F): 5.98 states/eV per cell

abc: 6.524 6.524 5.913
angles: 56.52 56.52 90.00
Fractional coordinates of all 8 atoms:
As (0.875, 0.767, 0.750)
As (0.233, 0.625, 0.250)
As (0.517, 0.125, 0.250)
Br (0.750, 0.250, 0.500)
C (0.500, 0.500, 0.000)
As (0.375, 0.483, 0.750)
C (0.250, 0.750, 0.500)
Br (0.000, 0.000, 0.000)

=====

(12)
VASP calculation (PBE) on a geometry-optimized Nd6Sm2Ho3In structure.

- DOS(E_F): 13.52 states/eV per cell
- Uncorrected energy: -4.589 eV/atom

abc: 6.219 6.219 11.877
angles: 95.03 95.03 120.12
Fractional coordinates of all 12 atoms:
Nd (0.917, 0.590, 0.750)
Sm (0.334, 0.666, 0.000)
Nd (0.757, 0.757, 0.251)
In (0.000, 0.000, 0.000)
Ho (0.833, 0.167, 0.500)
Nd (0.410, 0.083, 0.250)
Nd (0.590, 0.917, 0.750)
Sm (0.666, 0.334, 0.000)
Ho (0.500, 0.500, 0.500)
Nd (0.243, 0.243, 0.749)
Ho (0.167, 0.833, 0.500)
Nd (0.083, 0.410, 0.250)

=====

(13)
VASP calculation (PBE) on a geometry-optimized Pm2Tm8In structure.

- DOS(E_F): 14.17 states/eV per cell
- Uncorrected energy: -4.413 eV/atom

abc: 5.479 6.384 9.993
angles: 85.19 105.91 90.00
Fractional coordinates of all 11 atoms:
Tm (0.956, 0.268, 0.911)
In (0.500, 0.000, 0.000)
Pm (0.756, 0.333, 0.512)
Tm (0.578, 0.404, 0.156)
Tm (0.151, 0.189, 0.302)
Tm (0.849, 0.811, 0.698)
Tm (0.340, 0.123, 0.679)
Tm (0.044, 0.732, 0.089)
Pm (0.244, 0.667, 0.488)
Tm (0.422, 0.596, 0.844)
Tm (0.660, 0.877, 0.321)

=====

(14)
VASP calculation (PBE) on a geometry-optimized CaCePmEr structure.

- DOS(E_F): 10.49 states/eV per cell
- Uncorrected energy: -4.070 eV/atom

abc: 5.784 5.784 5.784
angles: 60.00 60.00 60.00
Each line ends with the local moment (μB).
Fractional coordinates of all 4 atoms:
Pm (0.000, 0.000, 0.000)  0.19
Ca (0.250, 0.250, 0.250)  0.03
Ce (0.750, 0.750, 0.750)  1.05
Er (0.500, 0.500, 0.500)  0.21

=====

(15)
VASP calculation (PBE) on a geometry-optimized CeNdDyMg structure.

- DOS(E_F): 8.53 states/eV per cell
- Uncorrected energy: -4.081 eV/atom

abc: 5.544 5.544 5.544
angles: 60.00 60.00 60.00
Each line ends with the local moment (μB).
Fractional coordinates of all 4 atoms:
Dy (0.250, 0.250, 0.250)  0.06
Ce (0.500, 0.500, 0.500)  0.69
Mg (0.000, 0.000, 0.000)  0.00
Nd (0.750, 0.750, 0.750)  0.06

=====

(16)
VASP calculation (PBE) on a geometry-optimized DyU4P5 structure.

- DOS(E_F): 22.00 states/eV per cell
- Uncorrected energy: -8.768 eV/atom

abc: 3.933 5.575 10.497
angles: 105.40 100.80 90.00
Each line ends with the local moment (μB).
Fractional coordinates of all 10 atoms:
U (0.600, 0.600, 0.200)  1.99
U (0.400, 0.400, 0.800)  1.99
Dy (0.000, 0.000, 0.000)  0.02
U (0.201, 0.201, 0.403)  2.00
P (0.602, 0.102, 0.204)  -0.06
P (0.398, 0.898, 0.796)  -0.06
U (0.799, 0.799, 0.597)  2.00
P (0.801, 0.301, 0.602)  -0.08
P (0.000, 0.500, 0.000)  -0.07
P (0.199, 0.699, 0.398)  -0.08

=====

(17)
VASP calculation (PBE) on a geometry-optimized Tl2TcBr structure.

- Energy relative to the lowest polymorph listed for this composition: 322 meV per atom
- DOS(E_F): 2.00 states/eV per cell

abc: 3.340 5.772 5.338
angles: 90.00 90.00 90.00
Each line ends with the local moment (μB).
Fractional coordinates of all 4 atoms:
Tl (0.500, 0.500, 0.000)  -0.06
Tc (0.000, 0.500, 0.500)  2.86
Br (0.500, 0.000, 0.500)  0.05
Tl (0.000, 0.000, 0.000)  -0.01

=====

(18)
VASP calculation (PBE) on a geometry-optimized Ba2PaSnN4 structure.

- DOS(E_F): 2.46 states/eV per cell
- Uncorrected energy: -6.956 eV/atom

abc: 6.118 6.118 6.118
angles: 93.83 117.81 117.81
Each line ends with the local moment (μB).
Fractional coordinates of all 8 atoms:
Ba (0.500, 0.750, 0.250)  0.03
N (0.397, 0.868, 0.796)  -0.01
Pa (0.500, 0.250, 0.750)  0.43
Sn (0.000, 0.500, 0.500)  0.00
N (0.603, 0.399, 0.471)  -0.01
Ba (0.000, 0.000, 0.000)  0.06
N (0.928, 0.529, 0.132)  -0.01
N (0.072, 0.204, 0.601)  -0.01

=====

(19)
VASP calculation (PBE) on a geometry-optimized Pr6Tl5Ga structure.

- Energy relative to the lowest polymorph listed for this composition: 0 meV per atom
- DOS(E_F): 9.12 states/eV per cell

abc: 5.529 7.764 9.586
angles: 113.89 107.02 90.00
Fractional coordinates of all 12 atoms:
Pr (0.839, 0.082, 0.677)
Pr (0.839, 0.595, 0.677)
Tl (0.665, 0.665, 0.331)
Pr (0.161, 0.405, 0.323)
Tl (0.674, 0.174, 0.348)
Pr (0.161, 0.918, 0.323)
Pr (0.500, 0.762, 0.000)
Tl (0.000, 0.500, 0.000)
Tl (0.326, 0.826, 0.652)
Tl (0.335, 0.335, 0.669)
Ga (0.000, 0.000, 0.000)
Pr (0.500, 0.238, 0.000)

=====

(20)
VASP calculation (PBE) on a geometry-optimized Tm8IrRu2 structure.

- Energy relative to the lowest polymorph listed for this composition: 0 meV per atom
- DOS(E_F): 9.77 states/eV per cell

abc: 4.799 6.762 8.886
angles: 107.21 105.67 90.00
Fractional coordinates of all 11 atoms:
Ir (0.500, 0.000, 0.000)
Tm (0.668, 0.963, 0.336)
Tm (0.969, 0.208, 0.938)
Tm (0.796, 0.687, 0.591)
Tm (0.031, 0.792, 0.062)
Tm (0.404, 0.550, 0.808)
Ru (0.184, 0.698, 0.368)
Tm (0.204, 0.313, 0.409)
Tm (0.596, 0.450, 0.192)
Ru (0.816, 0.302, 0.632)
Tm (0.332, 0.037, 0.664)